1.
# YMg2TiW PBE optimized geometry
data_YMg2TiW
_cell_length_a 5.2431
_cell_length_b 5.2431
_cell_length_c 4.5575
_cell_angle_alpha 90.00
_cell_angle_beta 90.00
_cell_angle_gamma 90.00
_symmetry_space_group_name_H-M 'P 4/m m m'
_symmetry_Int_Tables_number 123
_symmetry_space_group_name_Hall '-P 4 2'
loop_
_atom_site_label
_atom_site_type_symbol
_atom_site_fract_x
_atom_site_fract_y
_atom_site_fract_z
Y1 Y 0.0000 0.0000 0.0000
Mg1 Mg 0.0000 0.5000 0.5000
Ti1 Ti 0.5000 0.5000 0.0000
W1 W 0.5000 0.5000 0.5000
# energy of formation	0.69	eV per atom
# total energy	-5.413	eV/atom

2.
# Y2MgTi2 PBE optimized geometry
data_Y2MgTi2
_cell_length_a 8.1419
_cell_length_b 8.1419
_cell_length_c 3.7067
_cell_angle_alpha 90.00
_cell_angle_beta 90.00
_cell_angle_gamma 90.00
_symmetry_space_group_name_H-M 'P 4/m b m'
_symmetry_Int_Tables_number 127
_symmetry_space_group_name_Hall '-P 4 2ab'
loop_
_atom_site_label
_atom_site_type_symbol
_atom_site_fract_x
_atom_site_fract_y
_atom_site_fract_z
Y1 Y 0.1762 0.3238 0.0000
Mg1 Mg 0.0000 0.0000 0.5000
Ti1 Ti 0.1160 0.6160 0.5000
# energy of formation	0.27	eV per atom
# total energy	-5.797	eV/atom